VASP calculation (PBE with a Hubbard U) on Li2Mn3WO8 after structural relaxation.

a b c (Å): 6.1127 6.1569 8.8492
angles (deg): 91.47 90.13 91.36
Atoms (fractional coordinates):
Li1 0.2399 0.0199 0.1075
Li2 0.2485 0.4825 0.3941
Li3 0.7515 0.5175 0.6059
Li4 0.7601 0.9801 0.8925
Mn1 0.0000 0.0000 0.5000
Mn2 0.0000 0.5000 0.0000
Mn3 0.2337 0.2520 0.7490
Mn4 0.5000 0.0000 0.5000
Mn5 0.5000 0.5000 0.0000
Mn6 0.7663 0.7480 0.2510
W1 0.2414 0.7502 0.7505
W2 0.7586 0.2498 0.2495
O1 0.0037 0.5362 0.7508
O2 0.0321 0.9951 0.7540
O3 0.2240 0.7656 0.5264
O4 0.2297 0.2879 0.9693
O5 0.2346 0.7375 0.9738
O6 0.2380 0.2138 0.5292
O7 0.4459 0.5063 0.7395
O8 0.4785 0.9585 0.7563
O9 0.5215 0.0415 0.2437
O10 0.5541 0.4937 0.2605
O11 0.7620 0.7862 0.4708
O12 0.7654 0.2625 0.0262
O13 0.7703 0.7121 0.0307
O14 0.7760 0.2344 0.4736
O15 0.9679 0.0049 0.2460
O16 0.9963 0.4638 0.2492

Properties
Space group: P-1 (2)
Magnetic moment: 0.93 μB/atom
ΔE to the lowest computed polymorph: 0.171 eV per formula unit